# 1
The following is a PBE calculation of a geometry-optimized PmNb2Pd9 structure, from Alexandria.

Lattice parameters (Å, degrees): 4.046 4.046 12.154 90.00 90.00 90.00
Each line ends with the local moment (μB).
Fractional coordinates of all 12 atoms:
Pm 0.000 0.000 0.000  0.00
Nb 0.000 0.000 0.336  0.46
Nb 0.000 0.000 0.664  0.46
Pd 0.500 0.500 0.000  0.01
Pd 0.500 0.500 0.341  0.02
Pd 0.500 0.500 0.659  0.02
Pd 0.500 0.000 0.182  0.03
Pd 0.500 0.000 0.500  0.04
Pd 0.500 0.000 0.818  0.03
Pd 0.000 0.500 0.182  0.03
Pd 0.000 0.500 0.500  0.04
Pd 0.000 0.500 0.818  0.03

Results
- N(E_F): 0.76 states/eV per atom
- Space group: P4/mmm (123)
- E_form: -0.482 eV per atom
- Calculated total energy: -6.4513 eV/atom

# 2
The following is a PBE calculation of a geometry-optimized PmY2SnC structure, from Alexandria.

Lattice parameters (Å, degrees): 5.059 4.908 4.908 90.00 90.00 90.00
Fractional coordinates of all 5 atoms:
Pm 0.500 0.000 0.000
Y 0.000 0.000 0.500
Y 0.000 0.500 0.000
Sn 0.500 0.500 0.500
C 0.000 0.000 0.000

Results
- N(E_F): 0.47 states/eV per atom
- Space group: P4/mmm (123)
- E_form: -0.605 eV per atom
- Calculated total energy: -6.7858 eV/atom

# 3
The following is a PBE calculation of a geometry-optimized LaCoOs3 structure, from Alexandria.

Lattice parameters (Å, degrees): 4.562 4.562 4.562 90.00 90.00 90.00
Each line ends with the local moment (μB).
Fractional coordinates of all 5 atoms:
Co 0.000 0.000 0.000  1.34
Os 0.000 0.500 0.000  0.32
Os 0.000 0.000 0.500  0.45
Os 0.500 0.000 0.000  0.20
La 0.500 0.500 0.500  0.01

Results
- N(E_F): 1.25 states/eV per atom
- Distance to the lowest polymorph of the same formula: 0 meV/atom
- Space group: Pm-3m (221)
- E_form: 1.016 eV per atom
- Calculated total energy: -8.1290 eV/atom

# 4
The following is a PBE calculation of a geometry-optimized Fe2OsPb structure, from Alexandria.

Lattice parameters (Å, degrees): 4.622 4.622 4.940 78.07 78.07 37.56
Each line ends with the local moment (μB).
Fractional coordinates of all 4 atoms:
Fe 0.017 0.017 0.953  2.15
Fe 0.746 0.746 0.754  2.47
Os 0.485 0.485 0.554  0.08
Pb 0.252 0.252 0.239  -0.04

Results
- N(E_F): 1.17 states/eV per atom
- Space group: Cm (8)
- E_form: 0.611 eV per atom
- Calculated total energy: -7.3553 eV/atom